Density functional theory data (PBE) for a geometry-optimized SrCaY2 structure.

Lattice parameters (Å, degrees): 3.6145 6.2029 6.8258 90.00 97.81 90.00
Space group P2/m (No. 10)
Unique sites:
Sr1 0.0000 0.0000 0.0000 (multiplicity 1)
Ca1 0.5000 0.0000 0.5000 (multiplicity 1)
Y1 0.2562 0.5000 0.7411 (multiplicity 2)

Values from the calculation:
Excess energy over the best structure of this formula in the dataset, meV/atom: 112
V, Å³/cell: 151.6
Electronic total energy, eV/atom: -3.96

Density functional theory data (PBE) for a geometry-optimized BaLiC3 structure.

Lattice parameters (Å, degrees): 4.8749 4.8749 4.8749 90.00 90.00 90.00
Space group Pm-3m (No. 221)
Unique sites:
Ba1 0.0000 0.0000 0.0000 (multiplicity 1)
Li1 0.5000 0.5000 0.5000 (multiplicity 1)
C1 0.0000 0.0000 0.5000 (multiplicity 3)

Values from the calculation:
Excess energy over the best structure of this formula in the dataset, meV/atom: 999
V, Å³/cell: 115.8
Electronic total energy, eV/atom: -3.03

Density functional theory data (PBE) for a geometry-optimized Ac3LaNd4Te8 structure.

Lattice parameters (Å, degrees): 9.2116 9.2116 22.4695 90.00 90.00 120.00
Space group R-3m (No. 166, hexagonal axes)
Unique sites:
Ac1 0.0000 0.5000 0.0000 (multiplicity 9)
La1 0.0000 0.0000 0.0000 (multiplicity 3)
Nd1 0.0000 0.0000 0.5000 (multiplicity 3)
Nd2 0.0000 0.5000 0.5000 (multiplicity 9)
Te1 0.0000 0.0000 0.2451 (multiplicity 6)
Te2 0.0041 0.5021 0.7537 (multiplicity 18)

Values from the calculation:
V, Å³/cell: 1651.0
Electronic total energy, eV/atom: -5.31

Density functional theory data (PBE) for a geometry-optimized Na2DyInTe4 structure.

Lattice parameters (Å, degrees): 7.6732 4.3558 8.0221 90.00 108.62 90.00
Space group P2/m (No. 10)
Unique sites:
Na1 0.0000 0.0000 0.0000 (multiplicity 1)
Na2 0.5000 0.5000 0.0000 (multiplicity 1)
Dy1 0.0000 0.5000 0.5000 (multiplicity 1)
In1 0.5000 0.0000 0.5000 (multiplicity 1)
Te1 0.2420 0.0000 0.7343 (multiplicity 2)
Te2 0.2676 0.5000 0.2775 (multiplicity 2)

Values from the calculation:
V, Å³/cell: 254.1
Electronic total energy, eV/atom: -3.72

Density functional theory data (PBE) for a geometry-optimized U2Ge4Rh5 structure.

Lattice parameters (Å, degrees): 5.6346 9.5352 14.8022 90.00 90.00 90.00
Space group Fmmm (No. 69)
Unique sites:
U1 0.0000 0.0000 0.1215 (multiplicity 8)
Ge1 0.0000 0.1526 0.3680 (multiplicity 16)
Rh1 0.0000 0.0000 0.5000 (multiplicity 4)
Rh2 0.2500 0.2500 0.0000 (multiplicity 8)
Rh3 0.2500 0.2500 0.2500 (multiplicity 8)

Values from the calculation:
V, Å³/cell: 795.3
Electronic total energy, eV/atom: -7.52

Density functional theory data (PBE) for a geometry-optimized La2Pr3NdSe6 structure.

Lattice parameters (Å, degrees): 7.3952 12.8553 7.3980 90.00 109.55 90.00
Space group C2/m (No. 12)
Unique sites:
La1 0.0000 0.1660 0.0000 (multiplicity 4)
Pr1 0.0000 0.0000 0.5000 (multiplicity 2)
Pr2 0.0000 0.3330 0.5000 (multiplicity 4)
Nd1 0.0000 0.5000 0.0000 (multiplicity 2)
Se1 0.2470 0.5000 0.7488 (multiplicity 4)
Se2 0.2486 0.3344 0.2496 (multiplicity 8)

Values from the calculation:
V, Å³/cell: 662.8
Electronic total energy, eV/atom: -6.06

Density functional theory data (PBE) for a geometry-optimized Dy2HPb structure.

Lattice parameters (Å, degrees): 8.5601 6.4367 6.7500 90.00 99.73 90.00
Space group P2_1/c (No. 14)
Unique sites:
Dy1 0.0615 0.1545 0.3143 (multiplicity 4)
Dy2 0.3016 0.6495 0.5273 (multiplicity 4)
H1 0.0728 0.6663 0.9310 (multiplicity 4)
Pb1 0.3779 0.1480 0.6393 (multiplicity 4)

Values from the calculation:
Excess energy over the best structure of this formula in the dataset, meV/atom: 141
V, Å³/cell: 366.6
Electronic total energy, eV/atom: -4.48

Density functional theory data (PBE) for a geometry-optimized MgSc2HgB structure.

Lattice parameters (Å, degrees): 4.6883 4.6883 4.5177 90.00 90.00 90.00
Space group P4/mmm (No. 123)
Unique sites:
Mg1 0.0000 0.0000 0.0000 (multiplicity 1)
Sc1 0.0000 0.5000 0.5000 (multiplicity 2)
Hg1 0.5000 0.5000 0.0000 (multiplicity 1)
B1 0.0000 0.0000 0.5000 (multiplicity 1)

Values from the calculation:
Excess energy over the best structure of this formula in the dataset, meV/atom: 0
V, Å³/cell: 99.3
Electronic total energy, eV/atom: -4.44

Density functional theory data (PBE) for a geometry-optimized Sm3YPu2Te6 structure.

Lattice parameters (Å, degrees): 19.3152 4.4082 8.8837 90.00 103.64 90.00
Space group C2/m (No. 12)
Unique sites:
Sm1 0.0000 0.0000 0.0000 (multiplicity 2)
Sm2 0.1675 0.5000 0.3342 (multiplicity 4)
Y1 0.0000 0.0000 0.5000 (multiplicity 2)
Pu1 0.1660 0.5000 0.8333 (multiplicity 4)
Te1 0.0003 0.5000 0.2543 (multiplicity 4)
Te2 0.1647 0.0000 0.5840 (multiplicity 4)
Te3 0.1673 0.0000 0.0823 (multiplicity 4)

Values from the calculation:
V, Å³/cell: 735.1
Electronic total energy, eV/atom: -6.97

Density functional theory data (PBE) for a geometry-optimized P2Pt structure.

Lattice parameters (Å, degrees): 5.2470 5.2470 6.8064 90.00 90.00 90.00
Space group I4/mcm (No. 140)
Unique sites:
P1 0.1621 0.3379 0.0000 (multiplicity 8)
Pt1 0.0000 0.0000 0.2500 (multiplicity 4)

Values from the calculation:
V, Å³/cell: 187.4
Electronic total energy, eV/atom: -5.47

Density functional theory data (PBE) for a geometry-optimized AcAgTe2 structure.

Lattice parameters (Å, degrees): 7.9962 4.4901 14.6121 90.00 90.00 90.00
Space group Pnma (No. 62)
Unique sites:
Ac1 0.1658 0.2500 0.1487 (multiplicity 4)
Ag1 0.0707 0.7500 0.4419 (multiplicity 4)
Te1 0.0665 0.2500 0.7361 (multiplicity 4)
Te2 0.2131 0.7500 0.9769 (multiplicity 4)

Values from the calculation:
Excess energy over the best structure of this formula in the dataset, meV/atom: 16
V, Å³/cell: 524.6
Electronic total energy, eV/atom: -4.36

Density functional theory data (PBE) for a geometry-optimized Hf2NpIr structure.

Lattice parameters (Å, degrees): 4.9480 4.9480 3.1293 90.00 90.00 90.00
Space group P4/mmm (No. 123)
Unique sites:
Hf1 0.0000 0.5000 0.0000 (multiplicity 2)
Np1 0.0000 0.0000 0.5000 (multiplicity 1)
Ir1 0.5000 0.5000 0.5000 (multiplicity 1)

Values from the calculation:
Excess energy over the best structure of this formula in the dataset, meV/atom: 118
V, Å³/cell: 76.6
Electronic total energy, eV/atom: -10.57